No. 1
First-principles (PBE) data for crystalline Li2CuPO4 at its relaxed geometry, as listed in Alexandria via LeMat-Bulk.

Calculated values
**Theoretical density**: 3.39 g/cm3
**DFT total energy**: -48.72 eV/f.u.
**Spin magnetization**: 0.3 μB/cell

Cell: 5.4249 6.1902 10.0636 Å, 89.73 89.25 89.26°
With the nearest neighbours (Å) after each atom.
Space group P1 (No. 1)
Inequivalent atoms, fractional coordinates:
Li 0.0000 0.0000 0.0000  4 O 1.97-2.02
Li 0.0008 0.4881 0.0051  4 O 1.97-2.02
Li 0.1624 0.2403 0.2468  4 O 1.96-2.05
Li 0.1713 0.2441 0.7485  4 O 2.02-2.07
Li 0.4679 0.7452 0.4920  4 O 1.95-2.04
Li 0.4874 0.7406 0.9999  4 O 1.99-2.06
Li 0.6436 0.9909 0.2430  4 O 1.97-2.00
Li 0.6564 0.9891 0.7492  4 O 1.97-2.03
Cu 0.6668 0.4978 0.2540  4 O 2.00-2.17
Cu 0.6925 0.4936 0.7380  4 O 2.02-2.23
Cu 0.9350 0.5317 0.5150  2 O 1.97-2.02
Cu 0.9486 0.9545 0.4898  3 O 2.03-2.10
P 0.1481 0.7452 0.2374  4 O 1.55-1.57
P 0.1603 0.7488 0.7560  4 O 1.55-1.57
P 0.4633 0.2339 0.4942  4 O 1.55-1.57
P 0.5004 0.2403 0.9943  4 O 1.56-1.57
O 0.0147 0.9533 0.8027  1 P 1.55
O 0.0265 0.5318 0.2888  1 P 1.57
O 0.0328 0.5398 0.8113  1 P 1.57
O 0.1522 0.7443 0.0834  1 P 1.55
O 0.1679 0.7400 0.6000  1 P 1.57
O 0.1943 0.2369 0.5477  1 P 1.55
O 0.2286 0.2416 0.0469  1 P 1.56
O 0.4142 0.7545 0.2933  1 P 1.56
O 0.4302 0.7532 0.8052  1 P 1.55
O 0.4772 0.2290 0.3399  1 P 1.55
O 0.5017 0.2397 0.8389  1 P 1.56
O 0.5880 0.4479 0.5415  1 P 1.57
O 0.6030 0.0337 0.5531  1 P 1.56
O 0.6382 0.4464 0.0421  1 P 1.57
O 0.6392 0.0342 0.0456  1 P 1.56
O 0.9985 0.9499 0.2845  1 P 1.57

---

No. 2
First-principles (PBE) data for crystalline Ac6SmTm2 at its relaxed geometry, as listed in Alexandria via LeMat-Bulk.

Calculated values
**Theoretical density**: 8.21 g/cm3
**Formation energy from the elements**: 167.2 meV per atom
**Fermi-level density of states**: 57.7 states/eV/cell
**Spin magnetization**: 0.0 μB/cell

Cell: 15.9590 9.4423 10.0822 Å, 90.00 99.81 90.00°
With the nearest neighbours (Å) after each atom.
Space group C2/c (No. 15)
Inequivalent atoms, fractional coordinates:
Ac 0.1002 0.1956 0.1267  2 Sm 3.56-3.96, 3 Tm 3.58-3.77, 3 Ac 3.78-3.91
Ac 0.1205 0.4342 0.8332  3 Tm 3.69-3.73, 1 Sm 3.70, 5 Ac 3.75-4.05
Ac 0.1361 0.2205 0.5192  1 Sm 3.62, 2 Tm 3.64-3.65, 5 Ac 3.75-3.91
Sm 0.0000 0.1020 0.7500  2 Tm 3.46, 6 Ac 3.56-3.70
Tm 0.2180 0.0777 0.8523  1 Sm 3.46, 8 Ac 3.58-3.77

---

Which of these has the lowest theoretical density? Li2CuPO4